No. 1
LaPm6Dy6 after structural relaxation, computed with GGA-PBE.

Computed properties:
- VASP energy (eV/atom) = -4.446
- DOS(E_F) (states/eV/atom) = 2.08
- V (Å³ per atom) = 34.69
- DFT formation energy (eV per atom) = 0.250

a = 6.7260 Å, b = 6.7260 Å, c = 11.5097 Å
α = 90.00°, β = 90.00°, γ = 120.00°
Last column: nearest neighbours and their distance in Å.
Space group P6/mmm (No. 191)
Inequivalent atoms, fractional coordinates:
La 0.0000 0.0000 0.0000 x1  8 Pm 3.88-4.04
Pm 0.0000 0.0000 0.3513 x2  1 Pm 3.42, 6 Dy 3.56
Pm 0.3333 0.6667 0.0000 x2  6 Dy 3.46
Pm 0.3333 0.6667 0.5000 x2  6 Dy 3.48, 3 Pm 3.88
Dy 0.0000 0.5000 0.2487 x6  4 Dy 3.36, 6 Pm 3.46-3.56

No. 2
La7PmDy2 after structural relaxation, computed with GGA-PBE.

Computed properties:
- VASP energy (eV/atom) = -4.254
- DOS(E_F) (states/eV/atom) = 1.83
- V (Å³ per atom) = 42.78
- DFT formation energy (eV per atom) = 0.591

a = 9.0485 Å, b = 16.2620 Å, c = 5.8141 Å
α = 90.00°, β = 90.00°, γ = 90.00°
Last column: nearest neighbours and their distance in Å.
Space group Cmmm (No. 65)
Inequivalent atoms, fractional coordinates:
La 0.0000 0.0000 0.0000 x2  2 Dy 3.31, 4 La 3.43
La 0.0000 0.2631 0.5000 x4  2 Dy 3.06
La 0.1822 0.3845 0.0000 x8  2 Dy 3.21-3.37, 2 La 3.30-3.43
Pm 0.0000 0.5000 0.5000 x2  10 La 3.83-3.85
Dy 0.0000 0.2036 0.0000 x4  7 La 3.06-3.37

No. 3
La4Pm3Dy2 after structural relaxation, computed with GGA-PBE.

Computed properties:
- VASP energy (eV/atom) = -4.728
- DOS(E_F) (states/eV/atom) = 1.91
- V (Å³ per atom) = 35.20
- DFT formation energy (eV per atom) = 0.068

a = 3.6493 Å, b = 3.6493 Å, c = 27.4695 Å
α = 90.00°, β = 90.00°, γ = 120.00°
Last column: nearest neighbours and their distance in Å.
Space group P3m1 (No. 156)
Inequivalent atoms, fractional coordinates:
La 0.0000 0.0000 0.0000 x1  1 Dy 3.43, 6 La 3.65, 3 Pm 3.66
La 0.0000 0.0000 0.2206 x1  9 La 3.65-3.79, 3 Pm 3.73
La 0.3333 0.6667 0.3353 x1  9 La 3.65-3.79, 3 Pm 3.69
La 0.3333 0.6667 0.5581 x1  3 Dy 3.63, 6 La 3.65, 3 Pm 3.74
Pm 0.0000 0.0000 0.4455 x1  6 Pm 3.65, 6 La 3.69-3.74
Pm 0.3333 0.6667 0.1088 x1  6 Pm 3.65, 6 La 3.66-3.73
Pm 0.3333 0.6667 0.7726 x1  6 Dy 3.52-3.61, 6 Pm 3.65
Dy 0.0000 0.0000 0.6658 x1  3 Pm 3.61, 3 La 3.63, 6 Dy 3.65
Dy 0.0000 0.0000 0.8753 x1  1 La 3.43, 3 Pm 3.52, 6 Dy 3.65

No. 4
LaPm2Dy6 after structural relaxation, computed with GGA-PBE.

Computed properties:
- VASP energy (eV/atom) = -4.651
- DOS(E_F) (states/eV/atom) = 1.48
- V (Å³ per atom) = 32.77
- DFT formation energy (eV per atom) = 0.020

a = 3.5939 Å, b = 8.8070 Å, c = 9.4874 Å
α = 90.01°, β = 100.86°, γ = 90.09°
Last column: nearest neighbours and their distance in Å.
Space group P-1 (No. 2)
Inequivalent atoms, fractional coordinates:
La 0.0000 0.0000 0.0000 x1  2 La 3.59, 6 Dy 3.61-3.63, 4 Pm 3.62
Pm 0.4435 0.6637 0.8870 x2  3 Pm 3.57-3.59, 7 Dy 3.58-3.64, 2 La 3.62
Dy 0.1132 0.6674 0.2269 x2  7 Dy 3.54-3.59, 4 Pm 3.58-3.64, 1 La 3.61
Dy 0.2225 0.3346 0.4456 x2  10 Dy 3.54-3.59, 2 Pm 3.58
Dy 0.3314 0.9997 0.6619 x2  9 Dy 3.51-3.59, 2 La 3.63, 1 Pm 3.63

No. 5
La9Pm2Dy after structural relaxation, computed with GGA-PBE.

Computed properties:
- VASP energy (eV/atom) = -4.864
- DOS(E_F) (states/eV/atom) = 1.53
- V (Å³ per atom) = 35.68
- DFT formation energy (eV per atom) = 0.007

a = 5.2251 Å, b = 5.2251 Å, c = 15.6821 Å
α = 90.00°, β = 90.00°, γ = 90.00°
Last column: nearest neighbours and their distance in Å.
Space group P4/mmm (No. 123)
Inequivalent atoms, fractional coordinates:
La 0.0000 0.0000 0.0000 x1  8 La 3.68, 4 Dy 3.69
La 0.0000 0.0000 0.3327 x2  4 Pm 3.69, 8 La 3.70
La 0.0000 0.5000 0.1655 x4  8 La 3.68-3.70, 2 Dy 3.68, 2 Pm 3.70
La 0.0000 0.5000 0.5000 x2  8 La 3.69-3.70, 4 Pm 3.70
Pm 0.5000 0.5000 0.3325 x2  12 La 3.69-3.70
Dy 0.5000 0.5000 0.0000 x1  12 La 3.68-3.69

No. 6
La6Pm4Dy after structural relaxation, computed with GGA-PBE.

Computed properties:
- VASP energy (eV/atom) = -4.576
- DOS(E_F) (states/eV/atom) = 1.64
- V (Å³ per atom) = 36.52
- DFT formation energy (eV per atom) = 0.258

a = 7.0346 Å, b = 7.0346 Å, c = 16.2339 Å
α = 90.00°, β = 90.00°, γ = 90.00°
Last column: nearest neighbours and their distance in Å.
Space group I-42m (No. 121)
Inequivalent atoms, fractional coordinates:
La 0.0000 0.5000 0.0000 x4  4 Pm 3.12
La 0.1896 0.1896 0.1819 x8  3 Pm 3.46-3.73, 1 Dy 3.50, 1 La 3.77
Pm 0.1698 0.1698 0.3947 x8  3 La 3.12-3.46, 1 Pm 3.38
Dy 0.0000 0.0000 0.0000 x2  8 La 3.50-3.52, 4 Pm 3.70

No. 7
La12Pm2Dy5 after structural relaxation, computed with GGA-PBE.

Computed properties:
- VASP energy (eV/atom) = -4.735
- DOS(E_F) (states/eV/atom) = 1.41
- V (Å³ per atom) = 35.26
- DFT formation energy (eV per atom) = 0.088

a = 18.2904 Å, b = 11.8720 Å, c = 6.3098 Å
α = 90.00°, β = 102.04°, γ = 90.00°
Last column: nearest neighbours and their distance in Å.
Space group C2/m (No. 12)
Inequivalent atoms, fractional coordinates:
La 0.0562 0.0000 0.2710 x4  6 La 3.60-3.92, 2 Pm 3.64, 2 Dy 3.82-3.93
La 0.1062 0.2510 0.6208 x8  1 Pm 3.39, 4 La 3.41-3.71, 3 Dy 3.49-3.64
La 0.1164 0.5000 0.0070 x4  4 Dy 3.45-3.67, 2 Pm 3.49, 4 La 3.52-3.81
La 0.1961 0.2396 0.1986 x8  5 La 3.41-3.68, 3 Dy 3.47-3.81, 1 Pm 3.56
Pm 0.0000 0.2665 0.0000 x4  8 La 3.39-3.64
Dy 0.0000 0.5000 0.5000 x2  6 La 3.45-3.53
Dy 0.1818 0.0000 0.8576 x4  8 La 3.49-3.87, 2 Dy 3.53-3.77
Dy 0.2154 0.5000 0.5579 x4  8 La 3.47-3.81, 3 Dy 3.53-3.88

No. 8
La3Pm3Dy4 after structural relaxation, computed with GGA-PBE.

Computed properties:
- VASP energy (eV/atom) = -4.657
- DOS(E_F) (states/eV/atom) = 1.16
- V (Å³ per atom) = 35.03
- DFT formation energy (eV per atom) = 0.087

a = 3.6887 Å, b = 13.7823 Å, c = 13.7795 Å
α = 90.00°, β = 90.00°, γ = 90.00°
Last column: nearest neighbours and their distance in Å.
Space group Amm2 (No. 38)
Inequivalent atoms, fractional coordinates:
La 0.0000 0.0000 0.0000 x2  6 Dy 3.37-3.50, 2 La 3.69
La 0.5000 0.2483 0.5761 x4  4 La 3.69-4.07, 4 Dy 3.81-3.92, 6 Pm 4.02-4.05
Pm 0.0000 0.0000 0.6502 x2  6 Dy 3.35-3.45, 2 Pm 3.69
Pm 0.0000 0.1741 0.3257 x4  6 Dy 3.35-3.46, 2 Pm 3.69
Dy 0.5000 0.0000 0.2046 x2  3 Dy 3.35-3.69, 2 La 3.37, 4 Pm 3.46
Dy 0.5000 0.0000 0.4476 x2  6 Pm 3.35-3.46, 3 Dy 3.35-3.69
Dy 0.5000 0.1227 0.8227 x4  4 Pm 3.35-3.45, 3 Dy 3.38-3.69, 2 La 3.50

No. 9
La7PmDy2 after structural relaxation, computed with GGA-PBE.

Computed properties:
- VASP energy (eV/atom) = -4.520
- DOS(E_F) (states/eV/atom) = 1.76
- V (Å³ per atom) = 37.38
- DFT formation energy (eV per atom) = 0.325

a = 12.2400 Å, b = 17.2459 Å, c = 3.5420 Å
α = 90.00°, β = 90.00°, γ = 90.00°
Last column: nearest neighbours and their distance in Å.
Space group Cmmm (No. 65)
Inequivalent atoms, fractional coordinates:
La 0.0000 0.0000 0.0000 x2  10 La 3.54-3.74
La 0.0000 0.1797 0.5000 x4  2 Dy 3.19, 8 La 3.54-3.57
La 0.2437 0.1312 0.0000 x8  1 Dy 3.20, 4 La 3.54-3.57
Pm 0.0000 0.5000 0.5000 x2  4 Dy 3.37, 2 Pm 3.54
Dy 0.0000 0.3338 0.0000 x4  4 La 3.19-3.20, 2 Pm 3.37, 2 Dy 3.54

No. 10
La12PmDy5 after structural relaxation, computed with GGA-PBE.

Computed properties:
- VASP energy (eV/atom) = -4.808
- DOS(E_F) (states/eV/atom) = 1.57
- V (Å³ per atom) = 35.09
- DFT formation energy (eV per atom) = 0.020

a = 19.1168 Å, b = 10.9507 Å, c = 6.3871 Å
α = 90.00°, β = 109.13°, γ = 90.00°
Last column: nearest neighbours and their distance in Å.
Space group C2/m (No. 12)
Inequivalent atoms, fractional coordinates:
La 0.0000 0.1692 0.0000 x4  1 Pm 3.62, 7 La 3.64-3.71, 4 Dy 3.69-3.70
La 0.0000 0.3284 0.5000 x4  3 Dy 3.60-3.72, 7 La 3.64-3.76, 2 Pm 3.71
La 0.1667 0.1706 0.8339 x8  5 Dy 3.61-3.71, 7 La 3.63-3.74
La 0.1669 0.3290 0.3343 x8  4 Dy 3.60-3.71, 7 La 3.63-3.74, 1 Pm 3.71
Pm 0.0000 0.5000 0.0000 x2  10 La 3.62-3.71, 2 Dy 3.69
Dy 0.0000 0.0000 0.5000 x2  10 La 3.60-3.71, 2 Dy 3.67
Dy 0.1667 0.0000 0.3342 x4  10 La 3.60-3.70, 2 Dy 3.66-3.67
Dy 0.1672 0.5000 0.8326 x4  10 La 3.61-3.72, 1 Dy 3.66, 1 Pm 3.69

No. 11
La7Pm2Dy after structural relaxation, computed with GGA-PBE.

Computed properties:
- VASP energy (eV/atom) = -4.297
- DOS(E_F) (states/eV/atom) = 1.77
- V (Å³ per atom) = 41.45
- DFT formation energy (eV per atom) = 0.563

a = 9.0065 Å, b = 16.3391 Å, c = 5.6335 Å
α = 90.00°, β = 90.00°, γ = 90.00°
Last column: nearest neighbours and their distance in Å.
Space group Cmmm (No. 65)
Inequivalent atoms, fractional coordinates:
La 0.0000 0.0000 0.0000 x2  2 Pm 3.29, 4 La 3.38
La 0.0000 0.2603 0.5000 x4  2 Pm 2.98
La 0.1862 0.3866 0.0000 x8  2 Pm 3.17-3.46, 2 La 3.35-3.38
Pm 0.0000 0.2014 0.0000 x4  5 La 2.98-3.29
Dy 0.0000 0.5000 0.5000 x2  10 La 3.77-3.92

No. 12
LaPm6Dy12 after structural relaxation, computed with GGA-PBE.

Computed properties:
- VASP energy (eV/atom) = -4.464
- DOS(E_F) (states/eV/atom) = 1.63
- V (Å³ per atom) = 33.98
- DFT formation energy (eV per atom) = 0.203

a = 13.3006 Å, b = 13.3006 Å, c = 12.6418 Å
α = 90.00°, β = 90.00°, γ = 120.00°
Last column: nearest neighbours and their distance in Å.
Space group R-3m (No. 166, hexagonal axes)
Inequivalent atoms, fractional coordinates:
La 0.0000 0.0000 0.0000 x3  6 Pm 3.47
Pm 0.0364 0.5182 0.6179 x18  1 Pm 3.10, 2 Dy 3.47
Dy 0.0000 0.2578 0.5000 x18  6 Dy 3.35-3.54, 4 Pm 3.47-3.57
Dy 0.0915 0.1831 0.2646 x18  6 Dy 3.35-3.65, 2 Pm 3.70